#a
Compound: Re4Ru3
Source: the Alexandria database
Functional: PBE
Structure: relaxed

Summary:
Space-group type: I4/mmm (139)
DOS(E_F) (states/eV per cell): 8.8
Magnetization (μB/f.u.): 1.6

Cell: 10.2301 10.2301 10.2301 Å, 161.83 161.83 25.81°
Fractional coordinates of all 7 atoms:
Ru (0.0000, 0.0000, 0.0000)
Ru (0.7148, 0.7148, 0.0000)
Ru (0.2852, 0.2852, 0.0000)
Re (0.1424, 0.1424, 0.0000)
Re (0.8576, 0.8576, 0.0000)
Re (0.4248, 0.4248, 0.0000)
Re (0.5752, 0.5752, 0.0000)



#b
Compound: Re4Ru3
Source: the Alexandria database
Functional: PBE
Structure: relaxed

Summary:
Space-group type: P6/mmm (191)
DOS(E_F) (states/eV per cell): 6.8
Magnetization (μB/f.u.): 0.0

Cell: 4.9762 4.9762 4.8465 Å, 90.00 90.00 120.00°
Fractional coordinates of all 7 atoms:
Ru (0.5000, 0.5000, 0.0000)
Ru (0.5000, 0.0000, 0.0000)
Ru (0.0000, 0.5000, 0.0000)
Re (0.0000, 0.0000, 0.7427)
Re (0.6667, 0.3333, 0.5000)
Re (0.3333, 0.6667, 0.5000)
Re (0.0000, 0.0000, 0.2573)



Most stable one: #b, least stable one: #a.



#a
Compound: Re3Ru4
Source: the Alexandria database
Functional: PBE
Structure: relaxed

Summary:
Space-group type: P6/mmm (191)
DOS(E_F) (states/eV per cell): 7.1
Magnetization (μB/f.u.): 0.0

Cell: 5.0269 5.0269 4.8220 Å, 90.00 90.00 120.00°
Fractional coordinates of all 7 atoms:
Re (0.5000, 0.0000, 0.0000)
Re (0.0000, 0.5000, 0.0000)
Re (0.5000, 0.5000, 0.0000)
Ru (0.3333, 0.6667, 0.5000)
Ru (0.0000, 0.0000, 0.2572)
Ru (0.6667, 0.3333, 0.5000)
Ru (0.0000, 0.0000, 0.7428)



#b
Compound: Re3Ru4
Source: the Alexandria database
Functional: PBE
Structure: relaxed

Summary:
Space-group type: I4/mmm (139)
DOS(E_F) (states/eV per cell): 8.9
Magnetization (μB/f.u.): 1.6

Cell: 10.1143 10.1143 10.1143 Å, 161.60 161.60 26.14°
Fractional coordinates of all 7 atoms:
Re (0.2890, 0.2890, 0.0000)
Re (0.0000, 0.0000, 0.0000)
Re (0.7110, 0.7110, 0.0000)
Ru (0.4305, 0.4305, 0.0000)
Ru (0.1452, 0.1452, 0.0000)
Ru (0.5695, 0.5695, 0.0000)
Ru (0.8548, 0.8548, 0.0000)



Most stable one: #a, least stable one: #b.



#a
Compound: ReRu4
Source: the Alexandria database
Functional: PBE
Structure: relaxed

Summary:
Space-group type: I4/mmm (139)
DOS(E_F) (states/eV per cell): 6.4
Magnetization (μB/f.u.): 0.0

Cell: 6.7146 6.7146 6.7146 Å, 149.59 149.59 43.55°
Fractional coordinates of all 5 atoms:
Re (0.0000, 0.0000, 0.0000)
Ru (0.5972, 0.5972, 0.0000)
Ru (0.7500, 0.2500, 0.5000)
Ru (0.4028, 0.4028, 0.0000)
Ru (0.2500, 0.7500, 0.5000)



#b
Compound: ReRu4
Source: the Alexandria database
Functional: PBE
Structure: relaxed

Summary:
Space-group type: Pm-3m (221)
DOS(E_F) (states/eV per cell): 6.9
Magnetization (μB/f.u.): 4.5

Cell: 4.6296 4.6296 4.6296 Å, 90.00 90.00 90.00°
Fractional coordinates of all 5 atoms:
Ru (0.0000, 0.5000, 0.5000)
Ru (0.5000, 0.0000, 0.5000)
Ru (0.0000, 0.0000, 0.0000)
Ru (0.5000, 0.5000, 0.0000)
Re (0.5000, 0.5000, 0.5000)



#c
Compound: ReRu4
Source: the Alexandria database
Functional: PBE
Structure: relaxed

Summary:
Space-group type: I4/m (87)
DOS(E_F) (states/eV per cell): 4.8
Magnetization (μB/f.u.): 0.0

Cell: 4.6973 4.6973 4.6973 Å, 99.66 99.66 131.64°
Fractional coordinates of all 5 atoms:
Re (0.0000, 0.0000, 0.0000)
Ru (0.3985, 0.1992, 0.5977)
Ru (0.6015, 0.8008, 0.4023)
Ru (0.1992, 0.6015, 0.8006)
Ru (0.8008, 0.3985, 0.1994)



Most stable one: #c, least stable one: #b.



#a
Compound: Re3Ru2
Source: the Alexandria database
Functional: PBE
Structure: relaxed

Summary:
Space-group type: R-3m (166)
DOS(E_F) (states/eV per cell): 7.0
Magnetization (μB/f.u.): 0.0

Cell: 11.3284 11.3284 11.3284 Å, 13.90 13.90 13.90°
Fractional coordinates of all 5 atoms:
Ru (0.3993, 0.3993, 0.3993)
Ru (0.6007, 0.6007, 0.6007)
Re (0.8000, 0.8000, 0.8000)
Re (0.2000, 0.2000, 0.2000)
Re (0.0000, 0.0000, 0.0000)



#b
Compound: Re3Ru2
Source: the Alexandria database
Functional: PBE
Structure: relaxed

Summary:
Space-group type: C2/c (15)
DOS(E_F) (states/eV per cell): 6.5
Magnetization (μB/f.u.): 0.0

Cell: 4.7990 5.1890 7.2826 Å, 66.43 70.76 62.46°
Fractional coordinates of all 10 atoms:
Ru (0.5643, 0.7503, 0.4509)
Ru (0.7656, 0.7497, 0.0491)
Ru (0.2344, 0.2503, 0.9509)
Ru (0.4357, 0.2497, 0.5491)
Re (0.3621, 0.7605, 0.8482)
Re (0.6379, 0.2395, 0.1518)
Re (0.0293, 0.2605, 0.3482)
Re (0.1632, 0.7500, 0.2500)
Re (0.8368, 0.2500, 0.7500)
Re (0.9707, 0.7395, 0.6518)



#c
Compound: Re3Ru2
Source: the Alexandria database
Functional: PBE
Structure: relaxed

Summary:
Space-group type: Fdd2 (43)
DOS(E_F) (states/eV per cell): 9.1
Magnetization (μB/f.u.): 0.0

Cell: 8.0877 7.0009 5.2704 Å, 81.13 58.79 40.08°
Fractional coordinates of all 10 atoms:
Ru (0.1998, 0.8927, 0.3672)
Ru (0.5403, 0.3672, 0.8927)
Ru (0.8828, 0.7097, 0.0502)
Ru (0.3573, 0.0502, 0.7097)
Re (0.7490, 0.4531, 0.3516)
Re (0.7969, 0.5010, 0.8036)
Re (0.0646, 0.9354, 0.9354)
Re (0.3146, 0.1854, 0.1854)
Re (0.8984, 0.8036, 0.5010)
Re (0.4464, 0.3516, 0.4531)



#d
Compound: Re3Ru2
Source: the Alexandria database
Functional: PBE
Structure: relaxed

Summary:
Space-group type: P-3m1 (164)
DOS(E_F) (states/eV per cell): 5.7
Magnetization (μB/f.u.): 0.0

Cell: 4.1524 4.1524 5.5030 Å, 90.00 90.00 120.00°
Fractional coordinates of all 5 atoms:
Re (0.6667, 0.3333, 0.5998)
Re (0.0000, 0.0000, 0.0000)
Re (0.3333, 0.6667, 0.4002)
Ru (0.6667, 0.3333, 0.1410)
Ru (0.3333, 0.6667, 0.8590)



Most stable one: #b, least stable one: #d.



#a
Compound: Re2Ru3
Source: the Alexandria database
Functional: PBE
Structure: relaxed

Summary:
Space-group type: Fdd2 (43)
DOS(E_F) (states/eV per cell): 11.4
Magnetization (μB/f.u.): 0.0

Cell: 2.7804 5.9665 9.5649 Å, 88.06 81.64 76.53°
Fractional coordinates of all 10 atoms:
Ru (0.2127, 0.2616, 0.1879)
Ru (0.7505, 0.5000, 0.5000)
Ru (0.0005, 0.0000, 0.0000)
Ru (0.6622, 0.7384, 0.8121)
Ru (0.2243, 0.2384, 0.6879)
Ru (0.1506, 0.7616, 0.3121)
Re (0.4212, 0.3662, 0.9161)
Re (0.7035, 0.6338, 0.0839)
Re (0.5374, 0.1338, 0.4161)
Re (0.0873, 0.8662, 0.5839)



#b
Compound: Re2Ru3
Source: the Alexandria database
Functional: PBE
Structure: relaxed

Summary:
Space-group type: R-3m (166)
DOS(E_F) (states/eV per cell): 4.3
Magnetization (μB/f.u.): 0.0

Cell: 11.2614 11.2614 11.2614 Å, 13.93 13.93 13.93°
Fractional coordinates of all 5 atoms:
Ru (0.0000, 0.0000, 0.0000)
Ru (0.7989, 0.7989, 0.7989)
Ru (0.2011, 0.2011, 0.2011)
Re (0.5991, 0.5991, 0.5991)
Re (0.4009, 0.4009, 0.4009)



Most stable one: #b, least stable one: #a.



#a
Compound: Re2Ru3
Source: the Alexandria database
Functional: PBE
Structure: relaxed

Summary:
Space-group type: Fdd2 (43)
DOS(E_F) (states/eV per cell): 8.0
Magnetization (μB/f.u.): 0.0

Cell: 8.0334 6.9488 5.2504 Å, 81.08 58.71 40.22°
Fractional coordinates of all 10 atoms:
Re (0.5375, 0.3683, 0.8983)
Re (0.3517, 0.0542, 0.7125)
Re (0.8817, 0.7125, 0.0542)
Re (0.1958, 0.8983, 0.3683)
Ru (0.3282, 0.1718, 0.1718)
Ru (0.7409, 0.4572, 0.3544)
Ru (0.4475, 0.3544, 0.4572)
Ru (0.8956, 0.8025, 0.5091)
Ru (0.0782, 0.9218, 0.9218)
Ru (0.7928, 0.5091, 0.8025)



#b
Compound: Re2Ru3
Source: the Alexandria database
Functional: PBE
Structure: relaxed

Summary:
Space-group type: P-3m1 (164)
DOS(E_F) (states/eV per cell): 4.6
Magnetization (μB/f.u.): 0.0

Cell: 4.1829 4.1829 5.3165 Å, 90.00 90.00 120.00°
Fractional coordinates of all 5 atoms:
Re (0.3333, 0.6667, 0.8354)
Re (0.6667, 0.3333, 0.1646)
Ru (0.3333, 0.6667, 0.3581)
Ru (0.6667, 0.3333, 0.6419)
Ru (0.0000, 0.0000, 0.0000)



Most stable one: #a, least stable one: #b.